! PBE IrPb6O12, optimized geometry; values from VASP
! Raw formation energy   -87.78 kJ/mol of atoms
&SYSTEM
  ibrav = 0, nat = 19, ntyp = 3
/
ATOMIC_SPECIES
O 16.00 O.upf
Pb 207.20 Pb.upf
Ir 192.22 Ir.upf
ATOMIC_POSITIONS crystal
O 0.567 0.826 0.418
Pb 0.608 0.137 0.295
Pb 0.295 0.608 0.137
Ir 0.000 0.000 0.000
O 0.826 0.418 0.567
O 0.582 0.433 0.174
O 0.938 0.707 0.042
O 0.418 0.567 0.826
O 0.433 0.174 0.582
O 0.707 0.042 0.938
Pb 0.392 0.863 0.705
Pb 0.705 0.392 0.863
O 0.958 0.062 0.293
O 0.042 0.938 0.707
O 0.062 0.293 0.958
O 0.174 0.582 0.433
Pb 0.863 0.705 0.392
Pb 0.137 0.295 0.608
O 0.293 0.958 0.062
CELL_PARAMETERS angstrom
6.486 0.384 -1.279
-1.624 6.291 -1.279
0.280 0.384 6.605